# KAl2Cl (PBE, relaxed)
data_KAl2Cl
_chemical_formula_sum 'K2 Al4 Cl2'
_cell_length_a 4.0445
_cell_length_b 4.0445
_cell_length_c 16.2636
_cell_angle_alpha 82.86
_cell_angle_beta 82.86
_cell_angle_gamma 90.00
_symmetry_space_group_name_H-M 'P 1'
_symmetry_Int_Tables_number 1
_symmetry_space_group_name_Hall 'P 1'
loop_
_atom_site_label
_atom_site_fract_x
_atom_site_fract_y
_atom_site_fract_z
_atom_site_occupancy
K1 0.7500 0.2500 0.5000 1
Al1 0.3750 0.3769 0.7500 1
Al2 0.1269 0.6250 0.2500 1
Al3 0.8750 0.8731 0.7500 1
Al4 0.6231 0.1250 0.2500 1
Cl1 0.5000 0.5000 0.0000 1
Cl2 0.2500 0.7500 0.5000 1
K2 0.0000 0.0000 0.0000 1
# Symmetry: No. 122
# Relative energy among the computed polymorphs, eV/atom: 0.122
# Spin magnetization, μB per cell: 0.00
# E_form (uncorrected), eV/f.u.: -1.30
# Total energy, eV/atom: -2.932

# AcCdRu (PBE, relaxed)
data_AcCdRu
_chemical_formula_sum 'Ac2 Cd2 Ru2'
_cell_length_a 4.2726
_cell_length_b 4.4308
_cell_length_c 9.0074
_cell_angle_alpha 104.24
_cell_angle_beta 90.00
_cell_angle_gamma 90.00
_symmetry_space_group_name_H-M 'P 1'
_symmetry_Int_Tables_number 1
_symmetry_space_group_name_Hall 'P 1'
loop_
_atom_site_label
_atom_site_fract_x
_atom_site_fract_y
_atom_site_fract_z
_atom_site_occupancy
Ac1 0.2500 0.9011 0.8021 1
Ac2 0.7500 0.0989 0.1979 1
Cd1 0.7500 0.2985 0.5971 1
Ru1 0.7500 0.4670 0.9339 1
Ru2 0.2500 0.5330 0.0661 1
Cd2 0.2500 0.7015 0.4029 1
# DFT formation energy, meV per atom: -173
# Symmetry: No. 63
# Relative energy among the computed polymorphs, eV/atom: 0.000
# Spin magnetization, μB per cell: 0.00
# Total energy, eV/atom: -4.939

# CuNiPb (PBE, relaxed)
data_CuNiPb
_chemical_formula_sum 'Cu1 Ni1 Pb1'
_cell_length_a 4.9268
_cell_length_b 4.9261
_cell_length_c 3.3712
_cell_angle_alpha 70.00
_cell_angle_beta 69.98
_cell_angle_gamma 40.02
_symmetry_space_group_name_H-M 'P 1'
_symmetry_Int_Tables_number 1
_symmetry_space_group_name_Hall 'P 1'
loop_
_atom_site_label
_atom_site_fract_x
_atom_site_fract_y
_atom_site_fract_z
_atom_site_occupancy
Cu1 0.9797 0.9797 0.0203 1
Pb1 0.6687 0.6687 0.3313 1
Ni1 0.3516 0.3516 0.6484 1
# DFT formation energy, meV per atom: 250
# Symmetry: No. 107
# Relative energy among the computed polymorphs, eV/atom: 0.094
# Spin magnetization, μB per cell: 0.00
# Total energy, eV/atom: -4.279